Density functional theory data (PBE) for PmSeBr after structural relaxation.

Its formation energy from raw total energies is -5.2 eV/f.u. The value obtained for the calculated volume is 88.92 Å³/cell. The space group is No. 216. Its excess energy over the best structure of this formula in the dataset is 125 meV/atom.

Geometry as POSCAR:
```
PmSeBr
1.0
5.010 0.000 0.000
2.505 4.339 0.000
2.505 1.446 4.091
Br Pm Se
1 1 1
Cartesian
5.010 2.893 2.045
2.505 1.446 1.023
0.000 0.000 0.000
```